VASP calculation (PBE) on Ho6CdS4 after structural relaxation.

a = 3.921 Å, b = 12.953 Å, c = 20.007 Å
α = 90.00°, β = 90.00°, γ = 90.00°
Space group Cmcm (No. 63)
Unique sites:
Ho1 0.000 0.000 0.000 [4 per cell]
Ho2 0.000 0.157 0.250 [4 per cell]
Ho3 0.000 0.271 0.584 [8 per cell]
Ho4 0.000 0.461 0.159 [8 per cell]
Cd1 0.000 0.160 0.750 [4 per cell]
S1 0.000 0.094 0.121 [8 per cell]
S2 0.000 0.363 0.039 [8 per cell]

For the total energy, the calculation gives -5.598 eV/atom.

=====

VASP calculation (PBE) on Ta2ZnMoH after structural relaxation.

a = 4.188 Å, b = 4.188 Å, c = 3.909 Å
α = 90.00°, β = 90.00°, γ = 90.00°
Space group P4/mmm (No. 123)
Unique sites:
Ta1 0.000 0.500 0.000 [2 per cell]
Zn1 0.000 0.000 0.500 [1 per cell]
Mo1 0.500 0.500 0.500 [1 per cell]
H1 0.500 0.500 0.000 [1 per cell]

The energy above the most stable polymorph in this dataset comes out at 0.000 eV/atom.

=====

VASP calculation (PBE) on Er3Tm3CuTc2 after structural relaxation.

a = 7.9569 Å, b = 7.9569 Å, c = 3.8162 Å
α = 90.00°, β = 90.00°, γ = 120.00°
Space group P-62m (No. 189)
Unique sites:
Er1 0.0000 0.7368 0.0000 [3 per cell]
Tm1 0.0000 0.4072 0.5000 [3 per cell]
Cu1 0.0000 0.0000 0.5000 [1 per cell]
Tc1 0.3333 0.6667 0.0000 [2 per cell]

The formation enthalpy at 0 K comes out at -0.061 eV/atom.

=====

VASP calculation (PBE) on AlReNi2 after structural relaxation.

a = 2.6897 Å, b = 2.6897 Å, c = 24.6007 Å
α = 90.00°, β = 90.00°, γ = 120.00°
Space group R-3m (No. 166, hexagonal axes)
Unique sites:
Al1 0.0000 0.0000 0.0000 [3 per cell]
Re1 0.0000 0.0000 0.5000 [3 per cell]
Ni1 0.0000 0.0000 0.2531 [6 per cell]

The formation enthalpy at 0 K comes out at -0.123 eV/atom.

=====

VASP calculation (PBE) on Sr2TaNb after structural relaxation.

a = 8.859 Å, b = 8.859 Å, c = 5.896 Å
α = 90.00°, β = 90.00°, γ = 90.00°
Space group I-42d (No. 122)
Unique sites:
Sr1 0.248 0.250 0.125 [8 per cell]
Ta1 0.000 0.000 0.500 [4 per cell]
Nb1 0.000 0.000 0.000 [4 per cell]

The energy above the most stable polymorph in this dataset comes out at 0.050 eV/atom. The formation enthalpy at 0 K comes out at 1.579 eV/atom.

=====

VASP calculation (PBE) on KCa2Ni after structural relaxation.

a = 3.823 Å, b = 6.393 Å, c = 11.741 Å
α = 90.00°, β = 90.00°, γ = 90.00°
Space group Immm (No. 71)
Unique sites:
K1 0.000 0.000 0.000 [2 per cell]
Ca1 0.000 0.500 0.171 [4 per cell]
Ni1 0.000 0.000 0.500 [2 per cell]

The energy above the most stable polymorph in this dataset comes out at 0.148 eV/atom. The formation enthalpy at 0 K comes out at 0.210 eV/atom.

=====

VASP calculation (PBE) on LiTl2BSe4 after structural relaxation.

a = 6.821 Å, b = 6.821 Å, c = 8.693 Å
α = 90.00°, β = 90.00°, γ = 90.00°
Space group I-4 (No. 82)
Unique sites:
Li1 0.000 0.000 0.000 [2 per cell]
Tl1 0.000 0.000 0.500 [2 per cell]
Tl2 0.000 0.500 0.750 [2 per cell]
B1 0.000 0.500 0.250 [2 per cell]
Se1 0.175 0.687 0.123 [8 per cell]

For the total energy, the calculation gives -3.805 eV/atom.

=====

VASP calculation (PBE) on RbTl8Hg6 after structural relaxation.

a = 9.3065 Å, b = 9.3065 Å, c = 20.0832 Å
α = 90.00°, β = 90.00°, γ = 120.00°
Space group R-3 (No. 148, hexagonal axes)
Unique sites:
Rb1 0.0000 0.0000 0.0000 [3 per cell]
Tl1 0.0000 0.0000 0.3297 [6 per cell]
Tl2 0.0053 0.6814 0.1105 [18 per cell]
Hg1 0.0018 0.6456 0.9328 [18 per cell]

The formation enthalpy at 0 K comes out at -0.010 eV/atom.

=====

What did the third record say?
VASP calculation (PBE) on Er3Tm3CuTc2 after structural relaxation.

a = 7.9569 Å, b = 7.9569 Å, c = 3.8162 Å
α = 90.00°, β = 90.00°, γ = 120.00°
Space group P-62m (No. 189)
Unique sites:
Er1 0.0000 0.7368 0.0000 [3 per cell]
Tm1 0.0000 0.4072 0.5000 [3 per cell]
Cu1 0.0000 0.0000 0.5000 [1 per cell]
Tc1 0.3333 0.6667 0.0000 [2 per cell]

The formation enthalpy at 0 K comes out at -0.061 eV/atom.